(P)
5
Lattice="-0.782 1.541 -4.157 1.366 -3.932 -1.715 -4.278 -1.582 0.219" Properties=species:S:1:pos:R:3 comment="P2PtSCl (PBE, relaxed)" dos_at_fermi_per_ev_fu=4.92 pbc="T T T"
P -0.391 0.771 -2.078
P 0.683 -1.966 -0.858
Pt -1.847 -1.986 -2.827
Cl 0.000 0.000 0.000
S -2.139 -0.791 0.109



(Q)
5
Lattice="-3.268 -1.698 2.783 -0.929 -3.292 -3.100 2.924 -2.578 1.860" Properties=species:S:1:pos:R:3 comment="P2PtSCl (PBE, relaxed)" dos_at_fermi_per_ev_fu=4.14 pbc="T T T"
P -1.634 -0.849 1.392
P -0.465 -1.646 -1.550
Cl 1.462 -1.289 0.930
Pt -0.636 -3.784 0.772
S 0.000 0.000 0.000



Top of the stability list: (Q), leading by 442 meV/atom.



(P)
5
Lattice="4.932 0.000 0.000 0.000 4.932 0.000 0.000 0.000 4.761" Properties=species:S:1:pos:R:3 comment="SnPPtCl2 (PBE, relaxed)" dos_at_fermi_per_ev_fu=3.23 pbc="T T T"
Sn 2.466 2.466 2.380
Cl 0.000 2.466 0.000
Cl 2.466 0.000 0.000
P 0.000 0.000 2.380
Pt 0.000 0.000 0.000



(Q)
5
Lattice="-4.782 -1.100 0.574 0.854 -4.577 -1.650 0.979 -1.629 5.027" Properties=species:S:1:pos:R:3 comment="SnPPtCl2 (PBE, relaxed)" dos_at_fermi_per_ev_fu=4.74 pbc="T T T"
Cl -2.391 -0.550 0.287
Cl 0.427 -2.289 -0.825
P 0.489 -0.815 2.514
Pt -1.475 -3.653 1.976
Sn 0.000 0.000 0.000



Top of the stability list: (P), leading by 659 meV/atom.



(P)
5
Lattice="5.761 0.000 0.000 0.000 5.761 0.000 0.000 0.000 5.224" Properties=species:S:1:pos:R:3 comment="SrP2PtCl (PBE, relaxed)" dos_at_fermi_per_ev_fu=7.69 pbc="T T T"
Sr 0.000 0.000 0.000
P 2.881 0.000 0.000
P 0.000 2.881 0.000
Cl 0.000 0.000 2.612
Pt 2.881 2.881 2.612



(Q)
5
Lattice="4.532 0.000 0.000 0.000 4.532 0.000 0.000 0.000 6.352" Properties=species:S:1:pos:R:3 comment="SrP2PtCl (PBE, relaxed)" dos_at_fermi_per_ev_fu=3.51 pbc="T T T"
P 0.000 2.266 0.000
P 2.266 0.000 0.000
Cl 0.000 0.000 3.176
Sr 2.266 2.266 3.176
Pt 0.000 0.000 0.000



Top of the stability list: (Q), leading by 1601 meV/atom.



(P)
5
Lattice="-4.382 1.407 -1.302 0.296 -2.713 -3.928 -1.758 -3.415 2.226" Properties=species:S:1:pos:R:3 comment="TiP2PtCl (PBE, relaxed)" dos_at_fermi_per_ev_fu=4.70 pbc="T T T"
P -2.191 0.704 -0.651
P 0.148 -1.357 -1.964
Ti 0.000 0.000 0.000
Pt -2.922 -2.360 -1.502
Cl -0.879 -1.707 1.113



(Q)
5
Lattice="4.663 0.000 0.000 0.000 4.663 0.000 0.000 0.000 4.797" Properties=species:S:1:pos:R:3 comment="TiP2PtCl (PBE, relaxed)" dos_at_fermi_per_ev_fu=4.20 pbc="T T T"
Cl 0.000 0.000 2.398
Pt 0.000 0.000 0.000
Ti 2.332 2.332 2.398
P 2.332 0.000 0.000
P 0.000 2.332 0.000



Top of the stability list: (P), leading by 174 meV/atom.



(P)
5
Lattice="4.834 0.000 0.000 0.000 4.834 0.000 0.000 0.000 4.771" Properties=species:S:1:pos:R:3 comment="TiPPtCl2 (PBE, relaxed)" dos_at_fermi_per_ev_fu=7.44 pbc="T T T"
Cl 2.417 0.000 0.000
Cl 0.000 2.417 0.000
Ti 2.417 2.417 2.386
Pt 0.000 0.000 0.000
P 0.000 0.000 2.386



(Q)
5
Lattice="-3.410 -2.827 -0.741 0.989 -0.046 -4.381 3.204 -4.066 0.766" Properties=species:S:1:pos:R:3 comment="TiPPtCl2 (PBE, relaxed)" dos_at_fermi_per_ev_fu=6.81 pbc="T T T"
Cl 0.495 -0.023 -2.190
Cl -1.705 -1.414 -0.370
Ti 0.000 0.000 0.000
Pt 0.392 -3.469 -2.178
P 1.602 -2.033 0.383



Top of the stability list: (Q), leading by 289 meV/atom.



(P)
5
Lattice="-1.085 3.293 3.780 -3.154 -3.455 2.105 4.132 -1.992 2.922" Properties=species:S:1:pos:R:3 comment="TlPPtCl2 (PBE, relaxed)" dos_at_fermi_per_ev_fu=1.85 pbc="T T T"
Pt -0.053 -1.077 4.403
Tl 0.000 0.000 0.000
Cl -0.543 1.647 1.890
Cl -1.577 -1.727 1.052
P 2.066 -0.996 1.461



(Q)
5
Lattice="-1.406 -2.369 4.581 3.976 -3.522 -0.602 2.744 2.714 2.245" Properties=species:S:1:pos:R:3 comment="TlPPtCl2 (PBE, relaxed)" dos_at_fermi_per_ev_fu=2.82 pbc="T T T"
P 1.372 1.357 1.123
Pt 0.000 0.000 0.000
Tl 2.657 -1.589 3.112
Cl 1.988 -1.761 -0.301
Cl -0.703 -1.185 2.291



Top of the stability list: (Q), leading by 1139 meV/atom.



(P)
5
Lattice="-3.876 -2.566 2.141 3.340 -2.846 2.634 -0.128 3.338 3.768" Properties=species:S:1:pos:R:3 comment="TlP2PtCl (PBE, relaxed)" dos_at_fermi_per_ev_fu=4.94 pbc="T T T"
P -1.938 -1.283 1.071
P 1.670 -1.423 1.317
Pt -0.332 -1.037 4.272
Cl -0.064 1.669 1.884
Tl 0.000 0.000 0.000



(Q)
5
Lattice="-2.891 3.328 0.843 -3.357 -2.971 0.217 1.343 -0.917 8.228" Properties=species:S:1:pos:R:3 comment="TlP2PtCl (PBE, relaxed)" dos_at_fermi_per_ev_fu=1.29 pbc="T T T"
P -1.446 1.664 0.421
P -1.678 -1.486 0.108
Cl 0.671 -0.459 4.114
Tl -2.453 -0.281 4.644
Pt 0.000 0.000 0.000



Top of the stability list: (Q), leading by 1356 meV/atom.



(P)
5
Lattice="4.643 0.000 0.000 0.000 4.643 0.000 0.000 0.000 4.290" Properties=species:S:1:pos:R:3 comment="VP2PtCl (PBE, relaxed)" dos_at_fermi_per_ev_fu=3.71 pbc="T T T"
Cl 0.000 0.000 2.145
Pt 2.322 2.322 2.145
P 2.322 0.000 0.000
P 0.000 2.322 0.000
V 0.000 0.000 0.000



(Q)
5
Lattice="-4.490 1.171 0.255 -1.199 -4.391 -0.939 0.005 -1.013 4.730" Properties=species:S:1:pos:R:3 comment="VP2PtCl (PBE, relaxed)" dos_at_fermi_per_ev_fu=7.17 pbc="T T T"
V -2.842 -2.116 2.023
Pt 0.000 0.000 0.000
P -0.599 -2.196 -0.469
P -2.245 0.586 0.128
Cl 0.002 -0.506 2.365



Top of the stability list: (P), leading by 446 meV/atom.



(P)
5
Lattice="-1.603 -1.895 4.158 0.819 -4.455 -1.714 4.385 0.133 1.751" Properties=species:S:1:pos:R:3 comment="VPPtCl2 (PBE, relaxed)" dos_at_fermi_per_ev_fu=11.20 pbc="T T T"
V 1.801 -3.108 2.098
Pt 0.000 0.000 0.000
Cl -0.802 -0.947 2.079
Cl 0.410 -2.227 -0.857
P 2.193 0.066 0.876



(Q)
5
Lattice="-3.739 0.517 -2.169 -0.953 -4.199 0.641 -2.379 1.210 4.390" Properties=species:S:1:pos:R:3 comment="VPPtCl2 (PBE, relaxed)" dos_at_fermi_per_ev_fu=5.76 pbc="T T T"
P -1.190 0.605 2.195
V 0.000 0.000 0.000
Pt -3.536 -1.236 1.431
Cl -0.476 -2.100 0.320
Cl -1.870 0.259 -1.085



Top of the stability list: (Q), leading by 447 meV/atom.



(P)
5
Lattice="4.663 0.000 0.000 0.000 4.663 0.000 0.000 0.000 4.736" Properties=species:S:1:pos:R:3 comment="P2PtWCl (PBE, relaxed)" dos_at_fermi_per_ev_fu=3.91 pbc="T T T"
P 0.000 2.332 0.000
P 2.332 0.000 0.000
Pt 0.000 0.000 0.000
W 2.332 2.332 2.368
Cl 0.000 0.000 2.368



(Q)
5
Lattice="4.756 0.000 0.000 0.000 4.756 0.000 0.000 0.000 4.515" Properties=species:S:1:pos:R:3 comment="P2PtWCl (PBE, relaxed)" dos_at_fermi_per_ev_fu=3.27 pbc="T T T"
Cl 0.000 0.000 2.258
P 0.000 2.378 0.000
P 2.378 0.000 0.000
W 0.000 0.000 0.000
Pt 2.378 2.378 2.258



Top of the stability list: (Q), leading by 541 meV/atom.



(P)
5
Lattice="4.742 0.000 0.000 0.000 4.742 0.000 0.000 0.000 4.990" Properties=species:S:1:pos:R:3 comment="YPPtCl2 (PBE, relaxed)" dos_at_fermi_per_ev_fu=1.20 pbc="T T T"
P 0.000 0.000 2.495
Pt 0.000 0.000 0.000
Cl 0.000 2.371 0.000
Cl 2.371 0.000 0.000
Y 2.371 2.371 2.495



(Q)
5
Lattice="5.010 0.000 0.000 0.000 5.010 0.000 0.000 0.000 5.817" Properties=species:S:1:pos:R:3 comment="YPPtCl2 (PBE, relaxed)" dos_at_fermi_per_ev_fu=5.81 pbc="T T T"
Cl 2.505 0.000 0.000
Cl 0.000 2.505 0.000
Y 0.000 0.000 0.000
Pt 2.505 2.505 2.909
P 0.000 0.000 2.909



Top of the stability list: (P), leading by 258 meV/atom.



(P)
5
Lattice="-1.385 5.428 4.060 -6.771 -0.911 -1.093 -0.323 -4.192 5.494" Properties=species:S:1:pos:R:3 comment="RbP3Cl (PBE, relaxed)" dos_at_fermi_per_ev_fu=35.33 pbc="T T T"
Rb 0.000 0.000 0.000
P -0.162 -2.096 2.747
P -3.385 -0.455 -0.547
P -0.693 2.714 2.030
Cl -4.240 0.163 4.230



(Q)
5
Lattice="4.973 0.000 0.000 0.000 4.973 0.000 0.000 0.000 4.973" Properties=species:S:1:pos:R:3 comment="RbP3Cl (PBE, relaxed)" dos_at_fermi_per_ev_fu=6.96 pbc="T T T"
P 0.000 2.486 0.000
P 0.000 0.000 2.486
P 2.486 0.000 0.000
Cl 0.000 0.000 0.000
Rb 2.486 2.486 2.486



Top of the stability list: (Q), leading by 727 meV/atom.



(P)
5
Lattice="3.630 0.000 0.000 0.000 3.630 0.000 1.815 1.815 10.007" Properties=species:S:1:pos:R:3 comment="Rb2P2Cl (PBE, relaxed)" dos_at_fermi_per_ev_fu=1.13 pbc="T T T"
Cl 0.000 0.000 0.000
Rb 3.630 3.630 7.948
Rb 1.815 1.815 2.059
P 3.630 1.815 5.003
P 1.815 3.630 5.003



(Q)
10
Lattice="-2.537 1.819 -8.393 1.894 -8.418 -2.397 -4.082 -1.196 0.975" Properties=species:S:1:pos:R:3 comment="Rb2P2Cl (PBE, relaxed)" dos_at_fermi_per_ev_fu=3.54 pbc="T T T"
Rb -2.379 -1.839 -2.450
Rb -3.496 -1.602 -6.838
Rb -1.229 -6.193 -2.978
Rb -2.346 -5.956 -7.366
Cl 0.000 0.000 0.000
Cl -0.321 -3.299 -5.395
P 0.676 -6.993 -5.752
P -1.319 0.395 -5.039
P 0.601 -3.410 -1.666
P -1.244 -3.188 -9.124



Top of the stability list: (P), leading by 44 meV/atom.



(P)
5
Lattice="-5.967 0.440 -1.179 -1.230 -0.832 5.915 0.273 6.189 0.928" Properties=species:S:1:pos:R:3 comment="RbPRhCl2 (PBE, relaxed)" dos_at_fermi_per_ev_fu=13.81 pbc="T T T"
P 0.137 3.094 0.464
Cl -2.984 0.220 -0.590
Cl -0.615 -0.416 2.958
Rh -3.462 2.898 2.832
Rb 0.000 0.000 0.000



(Q)
5
Lattice="5.306 0.000 0.000 0.000 5.306 0.000 0.000 0.000 4.420" Properties=species:S:1:pos:R:3 comment="RbPRhCl2 (PBE, relaxed)" dos_at_fermi_per_ev_fu=1.29 pbc="T T T"
Cl 0.000 2.653 0.000
Cl 2.653 0.000 0.000
Rb 2.653 2.653 2.210
P 0.000 0.000 2.210
Rh 0.000 0.000 0.000



Top of the stability list: (Q), leading by 1687 meV/atom.